DFT (GGA+U) results for a relaxed structure of Mn2TeO.

```
Mn2TeO
1.0
0.000 3.307 3.307
3.307 0.000 3.307
3.307 3.307 0.000
Mn Te O
2 1 1
Direct
0.250 0.250 0.250 Mn
0.750 0.750 0.750 Mn
0.000 0.000 0.000 Te
0.500 0.500 0.500 O
```

DOS at the Fermi energy (states/eV per cell): 0.02
Symmetry: Fm-3m, No. 225
E above lowest polymorph (meV per atom): 818
Electronic total energy (eV/atom): -5.82